{"formula": "ZrMo4", "functional": "meta-GGA SCAN", "state": "single point on PBEsol structure", "delta_e_f_ev_per_atom": -0.015, "space_group": "I4/m (87)", "cell": [[3.166, 0.000, 0.000], [1.583, 5.061, 0.000], [1.583, 0.000, 5.061]], "species": ["Mo", "Mo", "Mo", "Mo", "Zr"], "frac_coords": [[0.192, 0.207, 0.410], [0.602, 0.590, 0.207], [0.808, 0.793, 0.590], [0.398, 0.410, 0.793], [0.000, 0.000, 0.000]]}

***

{"formula": "Na2NbPt", "functional": "meta-GGA SCAN", "state": "single point on PBEsol structure", "delta_e_f_ev_per_atom": 0.623, "space_group": "I-42d (122)", "polymorph_energy_ev_per_atom": 0.000, "cell": [[-3.847, -3.094, -1.227], [1.192, -6.179, 1.297], [-4.203, -0.854, 4.784]], "species": ["Na", "Na", "Na", "Na", "Nb", "Nb", "Pt", "Pt"], "frac_coords": [[0.082, 0.043, 0.543], [0.668, 0.957, 0.457], [0.375, 0.543, 0.957], [0.875, 0.457, 0.043], [0.250, 0.500, 0.500], [0.500, 0.000, 0.000], [0.750, 0.500, 0.500], [0.000, 0.000, 0.000]]}

***

{"formula": "KTe2Au", "functional": "meta-GGA SCAN", "state": "single point on PBEsol structure", "raw_formation_energy_mev_per_atom": -576, "space_group": "Immm (71)", "cell": [[-2.400, 0.404, 3.206], [-4.317, -3.429, -2.800], [5.432, -2.809, 1.894]], "species": ["K", "Te", "Te", "Au"], "frac_coords": [[0.000, 0.500, 0.000], [0.833, 0.833, 0.665], [0.167, 0.167, 0.335], [0.500, 0.000, 0.000]]}

***

{"formula": "Sc2Ga2Ag", "functional": "meta-GGA SCAN", "state": "single point on PBEsol structure", "delta_e_f_ev_per_atom": -0.619, "space_group": "P4/mbm (127)", "polymorph_energy_ev_per_atom": 0.000, "cell": [[4.066, 0.000, 0.000], [0.000, 6.705, 0.000], [0.000, 0.000, 6.705]], "species": ["Sc", "Sc", "Sc", "Sc", "Ga", "Ga", "Ga", "Ga", "Ag", "Ag"], "frac_coords": [[0.500, 0.168, 0.668], [0.500, 0.668, 0.832], [0.500, 0.832, 0.332], [0.500, 0.332, 0.168], [0.000, 0.367, 0.867], [0.000, 0.867, 0.633], [0.000, 0.633, 0.133], [0.000, 0.133, 0.367], [0.000, 0.000, 0.000], [0.000, 0.500, 0.500]]}

***

{"formula": "Li2SiSe", "functional": "meta-GGA SCAN", "state": "single point on PBEsol structure", "raw_formation_energy_mev_per_atom": -176, "space_group": "P4mm (99)", "polymorph_energy_ev_per_atom": 0.196, "cell": [[-0.712, 1.149, 3.308], [-2.743, -2.281, 0.202], [3.127, -3.590, 1.919]], "species": ["Si", "Se", "Li", "Li"], "frac_coords": [[0.500, 0.500, 0.742], [0.000, 0.000, 0.508], [0.000, 0.000, 0.992], [0.500, 0.500, 0.258]]}

***

{"formula": "InCuAs2", "functional": "meta-GGA SCAN", "state": "single point on PBEsol structure", "delta_e_f_ev_per_atom": 0.235, "space_group": "Cmmm (65)", "cell": [[3.160, 0.139, 0.000], [-0.555, 3.113, 0.000], [0.000, 0.000, 7.567]], "species": ["As", "As", "Cu", "In"], "frac_coords": [[0.000, 0.000, 0.311], [0.000, 0.000, 0.689], [0.500, 0.500, 0.500], [0.500, 0.500, 0.000]]}

***

{"formula": "ScInAs3", "functional": "meta-GGA SCAN", "state": "single point on PBEsol structure", "delta_e_f_ev_per_atom": 0.630, "space_group": "Pm-3m (221)", "cell": [[5.060, 0.000, 0.000], [0.000, 5.060, 0.000], [0.000, 0.000, 5.060]], "species": ["Sc", "As", "As", "As", "In"], "frac_coords": [[0.500, 0.500, 0.500], [0.000, 0.500, 0.000], [0.000, 0.000, 0.500], [0.500, 0.000, 0.000], [0.000, 0.000, 0.000]]}

***

{"formula": "BeTlPt2", "functional": "meta-GGA SCAN", "state": "single point on PBEsol structure", "delta_e_f_ev_per_atom": -0.205, "space_group": "Pmm2 (25)", "polymorph_energy_ev_per_atom": 0.000, "cell": [[-2.752, -0.608, -0.258], [0.317, -2.512, 2.530], [-1.364, 4.294, 4.434]], "species": ["Be", "Tl", "Pt", "Pt"], "frac_coords": [[0.500, 0.500, 0.857], [0.000, 0.000, 0.490], [0.000, 0.000, 0.934], [0.500, 0.500, 0.219]]}

***

| no. | total energy (eV per atom) | magnetic moment (μB/cell) |
| --- | --- | --- |
| 1 | -34.063 | 0.00 |
| 2 | -27.316 | 5.14 |
| 3 | -38.573 | 0.00 |
| 4 | -19.126 | 0.00 |
| 5 | -8.894 | 0.00 |
| 6 | -22.007 | 0.00 |
| 7 | -21.009 | 0.00 |
| 8 | -54.480 | 0.00 |